# Na2AcNi3F12

A relaxed Na2AcNi3F12 crystal (PBE with a Hubbard U, Alexandria via LeMat-Bulk).

Properties
Magnetic moment, μB/f.u.: 5.00
DOS(E_F), states/eV/cell: 20.1
E, eV/atom: -4.670

Cell: 7.4720 7.4720 16.2192 Å, 90.00 90.00 120.00°
Space group R-3m (No. 166, hexagonal axes)
Unique sites:
Na1 0.0000 0.0000 0.1376 x6
Ac1 0.0000 0.0000 0.5000 x3
Ni1 0.0000 0.5000 0.0000 x9
F1 0.0485 0.5242 0.8816 x18
F2 0.0846 0.5423 0.3046 x18